A plane-wave DFT calculation with GGA-PBE was carried out for a relaxed structure of Zr3POs.

Cell lengths 4.767, 4.767, 4.767 Å; angles 90.00, 90.00, 90.00 degrees
Space group Pm-3m (No. 221)
Unique sites:
Zr1 0.000 0.000 0.500 [3 per cell]
P1 0.000 0.000 0.000 [1 per cell]
Os1 0.500 0.500 0.500 [1 per cell]

Fermi-level density of states = 1.80 states/eV per atom
DFT total energy = -8.339 eV/atom
Energy of formation = 0.12 eV per atom



A plane-wave DFT calculation with GGA-PBE was carried out for a relaxed structure of Hf4Cu3Re.

Cell lengths 3.262, 4.609, 9.187 Å; angles 90.00, 90.00, 90.00 degrees
Space group Pmmm (No. 47)
Unique sites:
Hf1 0.000 0.000 0.000 [1 per cell]
Hf2 0.000 0.000 0.500 [1 per cell]
Hf3 0.000 0.500 0.245 [2 per cell]
Cu1 0.500 0.000 0.252 [2 per cell]
Cu2 0.500 0.500 0.500 [1 per cell]
Re1 0.500 0.500 0.000 [1 per cell]

Fermi-level density of states = 1.02 states/eV per atom
DFT total energy = -8.274 eV/atom
Energy of formation = -0.21 eV per atom



A plane-wave DFT calculation with GGA-PBE was carried out for a relaxed structure of NpAl3ZnAg.

Cell lengths 5.894, 13.892, 5.765 Å; angles 90.00, 90.00, 90.00 degrees
Space group Cmcm (No. 63)
Unique sites:
Np1 0.000 0.184 0.250 [4 per cell]
Al1 0.000 0.365 0.750 [4 per cell]
Al2 0.217 0.000 0.000 [8 per cell]
Zn1 0.000 0.155 0.750 [4 per cell]
Ag1 0.000 0.393 0.250 [4 per cell]

Fermi-level density of states = 1.53 states/eV per atom
DFT total energy = -4.526 eV/atom
Energy of formation = 0.19 eV per atom



A plane-wave DFT calculation with GGA-PBE was carried out for a relaxed structure of Pr3Dy4Th2.

Cell lengths 18.925, 3.637, 9.655 Å; angles 90.00, 115.80, 90.00 degrees
Space group C2/m (No. 12)
Unique sites:
Pr1 0.000 0.000 0.000 [2 per cell]
Pr2 0.149 0.000 0.671 [4 per cell]
Dy1 0.018 0.500 0.329 [4 per cell]
Dy2 0.184 0.000 0.329 [4 per cell]
Th1 0.169 0.500 0.003 [4 per cell]

Fermi-level density of states = 1.40 states/eV per atom
DFT total energy = -5.267 eV/atom
Energy of formation = 0.02 eV per atom



A plane-wave DFT calculation with GGA-PBE was carried out for a relaxed structure of AcPr10Dy6.

Cell lengths 9.9857, 9.9857, 7.0128 Å; angles 90.00, 90.00, 120.00 degrees
Space group P-31m (No. 162)
Unique sites:
Ac1 0.0000 0.0000 0.0000 [1 per cell]
Pr1 0.0000 0.2827 0.6730 [6 per cell]
Pr2 0.3333 0.6667 0.0000 [2 per cell]
Pr3 0.3333 0.6667 0.5000 [2 per cell]
Dy1 0.0000 0.3686 0.1836 [6 per cell]

Fermi-level density of states = 1.61 states/eV per atom
DFT total energy = -4.544 eV/atom
Energy of formation = 0.13 eV per atom



A plane-wave DFT calculation with GGA-PBE was carried out for a relaxed structure of Li3Mg.

Cell lengths 5.013, 6.137, 5.226 Å; angles 90.00, 90.00, 90.00 degrees
Space group Pmmn (No. 59, origin choice 2)
Unique sites:
Li1 0.250 0.000 0.174 [4 per cell]
Li2 0.250 0.250 0.678 [2 per cell]
Mg1 0.250 0.750 0.672 [2 per cell]

Fermi-level density of states = 0.39 states/eV per atom
DFT total energy = -1.862 eV/atom
Energy of formation = -0.03 eV per atom



A plane-wave DFT calculation with GGA-PBE was carried out for a relaxed structure of HfTi3S.

Cell lengths 4.529, 4.529, 4.529 Å; angles 90.00, 90.00, 90.00 degrees
Space group Pm-3m (No. 221)
Unique sites:
Hf1 0.000 0.000 0.000 [1 per cell]
Ti1 0.000 0.500 0.500 [3 per cell]
S1 0.500 0.500 0.500 [1 per cell]

Fermi-level density of states = 0.79 states/eV per atom
Formation energy from raw total energies = -0.432 eV/atom
DFT total energy = -7.985 eV/atom



A plane-wave DFT calculation with GGA-PBE was carried out for a relaxed structure of In3I.

Cell lengths 4.789, 4.789, 11.355 Å; angles 90.00, 90.00, 90.00 degrees
Space group I4/mmm (No. 139)
Unique sites:
In1 0.000 0.000 0.000 [2 per cell]
In2 0.000 0.500 0.250 [4 per cell]
I1 0.000 0.000 0.500 [2 per cell]

Fermi-level density of states = 0.33 states/eV per atom
Formation energy from raw total energies = -0.039 eV/atom
DFT total energy = -2.480 eV/atom



A plane-wave DFT calculation with GGA-PBE was carried out for a relaxed structure of LaSbTeH.

Cell lengths 4.855, 4.064, 5.301 Å; angles 90.00, 93.74, 90.00 degrees
Space group Pm (No. 6)
Unique sites:
La1 0.000 0.000 0.000 [1 per cell]
Sb1 0.094 0.500 0.501 [1 per cell]
Te1 0.581 0.000 0.479 [1 per cell]
H1 0.776 0.500 0.984 [1 per cell]

Fermi-level density of states = 0.23 states/eV per atom
DFT total energy = -4.478 eV/atom



A plane-wave DFT calculation with GGA-PBE was carried out for a relaxed structure of PPbN2O.

Cell lengths 3.699, 3.699, 3.766 Å; angles 90.00, 90.00, 90.00 degrees
Space group P4/mmm (No. 123)
Unique sites:
P1 0.000 0.000 0.000 [1 per cell]
Pb1 0.500 0.500 0.500 [1 per cell]
N1 0.000 0.500 0.000 [2 per cell]
O1 0.000 0.000 0.500 [1 per cell]

Fermi-level density of states = 0.41 states/eV per atom
Formation energy from raw total energies = 0.279 eV/atom
DFT total energy = -5.867 eV/atom



A plane-wave DFT calculation with GGA-PBE was carried out for a relaxed structure of TeAsS3.

Cell lengths 3.604, 17.671, 9.597 Å; angles 90.00, 91.16, 90.00 degrees
Space group P2_1/c (No. 14)
Unique sites:
Te1 0.223 0.072 0.362 [4 per cell]
As1 0.252 0.614 0.507 [4 per cell]
S1 0.224 0.592 0.955 [4 per cell]
S2 0.246 0.521 0.337 [4 per cell]
S3 0.249 0.190 0.071 [4 per cell]

Formation energy from raw total energies = 0.028 eV/atom
DFT total energy = -4.006 eV/atom



A plane-wave DFT calculation with GGA-PBE was carried out for a relaxed structure of HgMoRh2.

Cell lengths 4.057, 4.057, 7.709 Å; angles 90.00, 90.00, 90.00 degrees
Space group I4/mmm (No. 139)
Unique sites:
Hg1 0.000 0.000 0.000 [2 per cell]
Mo1 0.000 0.000 0.500 [2 per cell]
Rh1 0.000 0.500 0.250 [4 per cell]

Fermi-level density of states = 0.74 states/eV per atom
DFT total energy = -6.342 eV/atom
Energy of formation = 0.12 eV per atom



A plane-wave DFT calculation with GGA-PBE was carried out for a relaxed structure of CdHgAu3.

Cell lengths 4.671, 6.808, 6.896 Å; angles 90.00, 109.43, 90.00 degrees
Space group P2_1/m (No. 11)
Unique sites:
Cd1 0.132 0.250 0.266 [2 per cell]
Hg1 0.124 0.750 0.250 [2 per cell]
Au1 0.320 0.000 0.640 [4 per cell]
Au2 0.497 0.750 0.994 [2 per cell]

Fermi-level density of states = 0.28 states/eV per atom
DFT total energy = -2.248 eV/atom
Energy of formation = -0.04 eV per atom



A plane-wave DFT calculation with GGA-PBE was carried out for a relaxed structure of Sr5TlGe2.

Cell lengths 8.330, 8.330, 16.415 Å; angles 90.00, 90.00, 90.00 degrees
Space group I4/mcm (No. 140)
Unique sites:
Sr1 0.000 0.000 0.000 [4 per cell]
Sr2 0.175 0.325 0.136 [16 per cell]
Tl1 0.000 0.000 0.250 [4 per cell]
Ge1 0.113 0.387 0.500 [8 per cell]

Fermi-level density of states = 1.01 states/eV per atom
DFT total energy = -2.997 eV/atom
Energy of formation = -0.50 eV per atom



A plane-wave DFT calculation with GGA-PBE was carried out for a relaxed structure of Er2CuSi.

Cell lengths 4.832, 4.832, 3.539 Å; angles 90.00, 90.00, 90.00 degrees
Space group P4/mmm (No. 123)
Unique sites:
Er1 0.000 0.500 0.000 [2 per cell]
Cu1 0.000 0.000 0.500 [1 per cell]
Si1 0.500 0.500 0.500 [1 per cell]

Fermi-level density of states = 0.84 states/eV per atom
Formation energy from raw total energies = -0.426 eV/atom
DFT total energy = -5.087 eV/atom



A plane-wave DFT calculation with GGA-PBE was carried out for a relaxed structure of CaTi2Au.

Cell lengths 6.788, 6.788, 6.788 Å; angles 90.00, 90.00, 90.00 degrees
Space group Fm-3m (No. 225)
Unique sites:
Ca1 0.000 0.000 0.000 [4 per cell]
Ti1 0.250 0.250 0.250 [8 per cell]
Au1 0.000 0.000 0.500 [4 per cell]

Fermi-level density of states = 1.57 states/eV per atom
DFT total energy = -5.026 eV/atom
Energy of formation = 0.24 eV per atom



A plane-wave DFT calculation with GGA-PBE was carried out for a relaxed structure of AcMgIn.

Cell lengths 7.504, 7.504, 7.504 Å; angles 90.00, 90.00, 90.00 degrees
Space group F-43m (No. 216)
Unique sites:
Ac1 0.000 0.000 0.000 [4 per cell]
Mg1 0.000 0.000 0.500 [4 per cell]
In1 0.250 0.250 0.750 [4 per cell]

Fermi-level density of states = 0.30 states/eV per atom
DFT total energy = -3.025 eV/atom
Energy of formation = -0.21 eV per atom



A plane-wave DFT calculation with GGA-PBE was carried out for a relaxed structure of Be2CuB2.

Cell lengths 3.105, 3.105, 8.583 Å; angles 90.00, 90.00, 90.00 degrees
Space group I4/mmm (No. 139)
Unique sites:
Be1 0.000 0.500 0.250 [4 per cell]
Cu1 0.000 0.000 0.000 [2 per cell]
B1 0.000 0.000 0.404 [4 per cell]

Fermi-level density of states = 0.39 states/eV per atom
DFT total energy = -4.709 eV/atom
Energy of formation = 0.27 eV per atom



A plane-wave DFT calculation with GGA-PBE was carried out for a relaxed structure of CeNp3P4.

Cell lengths 5.652, 5.652, 5.652 Å; angles 90.00, 90.00, 90.00 degrees
Space group Pm-3m (No. 221)
Unique sites:
Ce1 0.000 0.000 0.000 [1 per cell]
Np1 0.000 0.500 0.500 [3 per cell]
P1 0.000 0.000 0.500 [3 per cell]
P2 0.500 0.500 0.500 [1 per cell]

Fermi-level density of states = 3.20 states/eV per atom
DFT total energy = -9.310 eV/atom
Energy of formation = -1.01 eV per atom



A plane-wave DFT calculation with GGA-PBE was carried out for a relaxed structure of NiB4.

Cell lengths 6.305, 2.943, 4.683 Å; angles 90.00, 118.13, 90.00 degrees
Space group Cm (No. 8)
Unique sites:
Ni1 0.000 0.000 0.000 [2 per cell]
B1 0.192 0.500 0.560 [2 per cell]
B2 0.250 0.000 0.844 [2 per cell]
B3 0.392 0.000 0.252 [2 per cell]
B4 0.483 0.500 0.503 [2 per cell]

Fermi-level density of states = 0.15 states/eV per atom
DFT total energy = -6.370 eV/atom
Energy of formation = 0.13 eV per atom